# PBE-GGA SbRuPb4, optimized geometry
data_SbRuPb4
_chemical_formula_sum 'Sb4 Ru4 Pb16'
_cell_length_a 8.913
_cell_length_b 8.913
_cell_length_c 8.913
_cell_angle_alpha 90.00
_cell_angle_beta 90.00
_cell_angle_gamma 90.00
_space_group_name_H-M_alt 'F -4 3 m'
_space_group_IT_number 216
_space_group_name_Hall 'F -4 2 3'
loop_
_atom_site_label
_atom_site_type_symbol
_atom_site_fract_x
_atom_site_fract_y
_atom_site_fract_z
Sb1 Sb 0.000 0.000 0.000
Ru1 Ru 0.250 0.250 0.250
Pb1 Pb 0.125 0.125 0.625
# Spin magnetization = 1.53 μB per formula unit
# D(E_F) = 17.9 states/eV per cell
# Total DFT energy (no corrections) = -3.89 eV/atom
# V = 29.5 Å³/atom
# Energy relative to the elements, uncorrected = 0.82 eV/atom